# 1
# PBE-GGA Ba4Sr, optimized geometry
# Relative energy among the computed polymorphs, meV per atom: 428
# ΔE_f, eV/atom: 0.430
data_Ba4Sr
_chemical_formula_sum 'Ba8 Sr2'
_space_group_name_H-M_alt 'I m -3 m'
_space_group_IT_number 229
_space_group_name_Hall '-I 4 2 3'
_cell_length_a 9.121
_cell_length_b 9.121
_cell_length_c 9.121
_cell_angle_alpha 90.00
_cell_angle_beta 90.00
_cell_angle_gamma 90.00
loop_
_atom_site_label
_atom_site_type_symbol
_atom_site_fract_x
_atom_site_fract_y
_atom_site_fract_z
Ba1 Ba 0.250 0.250 0.250
Sr1 Sr 0.000 0.000 0.000

# 2
# PBE-GGA Ba4Sr, optimized geometry
# Relative energy among the computed polymorphs, meV per atom: 16
# ΔE_f, eV/atom: 0.018
data_Ba4Sr
_chemical_formula_sum 'Ba12 Sr3'
_space_group_name_H-M_alt 'R -3 m'
_space_group_IT_number 166
_space_group_name_Hall '-R 3 2"'
_cell_length_a 4.4382
_cell_length_b 4.4382
_cell_length_c 54.6022
_cell_angle_alpha 90.00
_cell_angle_beta 90.00
_cell_angle_gamma 120.00
loop_
_atom_site_label
_atom_site_type_symbol
_atom_site_fract_x
_atom_site_fract_y
_atom_site_fract_z
Ba1 Ba 0.0000 0.0000 0.1014
Ba2 Ba 0.0000 0.0000 0.2997
Sr1 Sr 0.0000 0.0000 0.5000

# 3
# PBE-GGA Ba3Sr, optimized geometry
# Relative energy among the computed polymorphs, meV per atom: 2
# ΔE_f, eV/atom: 0.001
data_Ba3Sr
_chemical_formula_sum 'Ba3 Sr1'
_space_group_name_H-M_alt 'P 4/m m m'
_space_group_IT_number 123
_space_group_name_Hall '-P 4 2'
_cell_length_a 4.964
_cell_length_b 4.964
_cell_length_c 9.869
_cell_angle_alpha 90.00
_cell_angle_beta 90.00
_cell_angle_gamma 90.00
loop_
_atom_site_label
_atom_site_type_symbol
_atom_site_fract_x
_atom_site_fract_y
_atom_site_fract_z
Ba1 Ba 0.000 0.000 0.000
Ba2 Ba 0.500 0.500 0.256
Sr1 Sr 0.000 0.000 0.500

# 4
# PBE-GGA BaSr3, optimized geometry
# Relative energy among the computed polymorphs, meV per atom: 5
# ΔE_f, eV/atom: 0.005
data_BaSr3
_chemical_formula_sum 'Ba2 Sr6'
_space_group_name_H-M_alt 'C 1 2/m 1'
_space_group_IT_number 12
_space_group_name_Hall '-C 2y'
_cell_length_a 14.312
_cell_length_b 4.308
_cell_length_c 7.485
_cell_angle_alpha 90.00
_cell_angle_beta 99.90
_cell_angle_gamma 90.00
loop_
_atom_site_label
_atom_site_type_symbol
_atom_site_fract_x
_atom_site_fract_y
_atom_site_fract_z
Ba1 Ba 0.000 0.000 0.000
Sr1 Sr 0.000 0.500 0.500
Sr2 Sr 0.249 0.000 0.747

The following spin magnetization values (in Bohr magnetons per cell) correspond, in order, to the records above: 0.2, 0.0, 0.0, 0.0.